La2Ir: optimized geometry, GGA-PBEsol.

a = 6.6519 Å, b = 6.7611 Å, c = 4.2606 Å
α = 90.00°, β = 90.00°, γ = 90.00°
Atoms (fractional coordinates):
La 0.2256 0.1658 0.0000
La 0.2744 0.6658 0.5000
La 0.7256 0.3342 0.5000
La 0.7744 0.8342 0.0000
Ir 0.0000 0.0000 0.5000
Ir 0.5000 0.5000 0.0000

Energy relative to the elements ... -522.6 meV/atom
Space group ... Pnnm, No. 58

MgSb2W: optimized geometry, GGA-PBEsol.

a = 3.4722 Å, b = 4.9723 Å, c = 5.2291 Å
α = 90.00°, β = 109.30°, γ = 90.00°
Atoms (fractional coordinates):
Mg 0.0000 0.0000 0.0000
Sb 0.2767 0.0000 0.5507
Sb 0.6638 0.5000 0.3230
W 0.3891 0.5000 0.7752

ΔE_f (raw) ... 34 kJ/mol of atoms
Space group ... Pm, No. 6

LiMg2Ir: optimized geometry, GGA-PBEsol.

a = 3.1047 Å, b = 4.4803 Å, c = 4.4808 Å
α = 90.00°, β = 90.00°, γ = 90.00°
Atoms (fractional coordinates):
Li 0.0000 0.0000 0.0000
Mg 0.5000 0.0000 0.4993
Mg 0.5000 0.5000 0.9985
Ir 0.0000 0.5000 0.4984

Energy relative to the elements ... -226.0 meV/atom
Space group ... Pmm2, No. 25

MgZrAg2: optimized geometry, GGA-PBEsol.

a = 4.9666 Å, b = 4.9666 Å, c = 3.0435 Å
α = 90.00°, β = 90.00°, γ = 90.28°
Atoms (fractional coordinates):
Mg 0.0000 0.0000 0.0000
Zr 0.5000 0.5000 0.0000
Ag 0.0000 0.5000 0.5000
Ag 0.5000 0.0000 0.5000

Energy relative to the elements ... -86.4 meV/atom
Space group ... Cmmm, No. 65

Which formula does entry 2 have? MgSb2W

What did the fourth record say?
MgZrAg2: optimized geometry, GGA-PBEsol.

a = 4.9666 Å, b = 4.9666 Å, c = 3.0435 Å
α = 90.00°, β = 90.00°, γ = 90.28°
Atoms (fractional coordinates):
Mg 0.0000 0.0000 0.0000
Zr 0.5000 0.5000 0.0000
Ag 0.0000 0.5000 0.5000
Ag 0.5000 0.0000 0.5000

Energy relative to the elements ... -86.4 meV/atom
Space group ... Cmmm, No. 65